# BaSb3Rh

An optimized crystal structure of BaSb3Rh (PBE-GGA, the Alexandria database).

DOS(E_F), states/eV/cell: 7.736
Polymorph energy (0 for the lowest one), meV/atom: 2119
E_form (uncorrected), eV per atom: 1.629
Density, g/cm3: 4.393
Magnetic moment, μB/f.u.: 1.91

abc: 6.1172 6.1172 6.1172
angles: 90.00 90.00 90.00
Space group Pm-3m (No. 221)
Asymmetric unit:
Ba (0.0000, 0.0000, 0.0000) (multiplicity 1)
Sb (0.0000, 0.0000, 0.5000) (multiplicity 3)
Rh (0.5000, 0.5000, 0.5000) (multiplicity 1)